# MnTlI2Cl (PBE, optimized geometry)
data_MnTlI2Cl
_chemical_formula_sum 'Mn1 Tl1 I2 Cl1'
_cell_length_a 5.8793
_cell_length_b 5.8793
_cell_length_c 4.8589
_cell_angle_alpha 90.00
_cell_angle_beta 90.00
_cell_angle_gamma 90.00
_space_group_name_H-M_alt 'P 4/m m m'
_space_group_IT_number 123
_space_group_name_Hall '-P 4 2'
loop_
_atom_site_label
_atom_site_type_symbol
_atom_site_fract_x
_atom_site_fract_y
_atom_site_fract_z
_atom_site_occupancy
Mn1 Mn 0.0000 0.0000 0.0000 1
Tl1 Tl 0.5000 0.5000 0.5000 1
I1 I 0.0000 0.5000 0.0000 1
Cl1 Cl 0.0000 0.0000 0.5000 1
# offset from the most stable computed form = 0.00 kJ/mol of atoms
# energy relative to the elements, uncorrected = -641 meV per atom